Compound: LaMnO3
Source: Alexandria
Functional: PBE+U
Structure: optimized geometry

Geometry as extended XYZ:
```
20
Lattice="0.0000 5.1500 5.1500 5.1500 0.0000 5.1500 5.1500 5.1500 0.0000" Properties=species:S:1:pos:R:3 pbc="T T T"
La 0.0000 0.0000 0.0000
La 2.5750 2.5750 0.0000
La 2.5750 0.0000 2.5750
La 0.0000 2.5750 2.5750
Mn 5.1500 2.5750 2.5750
Mn 2.5750 5.1500 2.5750
Mn 2.5750 2.5750 5.1500
Mn 5.1500 5.1500 5.1500
O 3.8625 3.8625 1.7064
O 3.8625 1.7064 3.8625
O 6.0186 3.8625 3.8625
O 6.4375 6.4375 4.2813
O 6.4375 4.2813 6.4375
O 8.5936 6.4375 6.4375
O 1.7064 3.8625 3.8625
O 3.8625 6.0186 3.8625
O 3.8625 3.8625 6.0186
O 4.2813 6.4375 6.4375
O 6.4375 8.5936 6.4375
O 6.4375 6.4375 8.5936
```

Calculated volume: 13.66 Å³ per atom
DFT total energy: -7.587 eV/atom
Calculated density: 5.9 g/cm³
Space group: Fd-3m